Entry 1:
DFT (GGA-PBE) results for crystalline Ce5YSe8 at its relaxed geometry.

The structure in POSCAR format:
```
Ce5YSe8
1.0
7.276 0.000 -2.498
-3.632 6.265 -2.598
-0.012 0.000 7.693
Ce Y Se
5 1 8
direct
0.999 0.375 0.125
0.875 0.875 0.250
0.750 0.625 0.625
0.500 0.000 0.500
0.375 0.125 0.001
0.250 0.500 0.750
0.128 0.747 0.022
0.978 0.106 0.725
0.779 0.250 0.376
0.624 0.402 0.874
0.471 0.598 0.221
0.619 0.894 0.872
0.275 0.253 0.381
0.126 0.750 0.529
```

Computed properties:
**E**: -0.471 Ry/atom
**Magnetization**: 7.0 Bohr magnetons per cell


Entry 2:
DFT (GGA-PBE) results for crystalline CeY4Se5 at its relaxed geometry.

The structure in POSCAR format:
```
CeY4Se5
1.0
-3.274 2.347 -0.732
-5.732 -4.210 0.690
-3.193 1.747 8.437
Ce Y Se
1 4 5
direct
0.000 0.000 0.000
0.598 0.199 0.604
0.203 0.396 0.199
0.797 0.604 0.801
0.402 0.801 0.396
0.204 0.899 0.693
0.796 0.101 0.307
0.397 0.311 0.896
0.000 0.500 0.500
0.603 0.689 0.104
```

Computed properties:
**E**: -0.493 Ry/atom
**Magnetization**: 1.2 Bohr magnetons per cell


Entry 3:
DFT (GGA-PBE) results for crystalline Ce3Y5Se8 at its relaxed geometry.

The structure in POSCAR format:
```
Ce3Y5Se8
1.0
-3.461 -4.773 -5.755
4.422 -5.916 -3.649
-1.599 -7.959 1.665
Ce Y Se
3 5 8
direct
0.500 0.000 0.500
0.000 0.000 0.500
0.000 0.500 0.500
0.500 0.000 0.000
0.500 0.500 0.000
0.000 0.000 0.000
0.000 0.500 0.000
0.500 0.500 0.500
0.250 0.250 0.757
0.250 0.743 0.757
0.743 0.250 0.757
0.746 0.746 0.761
0.750 0.750 0.243
0.750 0.257 0.243
0.257 0.750 0.243
0.254 0.254 0.239
```

Computed properties:
**E**: -0.490 Ry/atom
**Magnetization**: 2.9 Bohr magnetons per cell


Entry 4:
DFT (GGA-PBE) results for crystalline Ce2YSe5 at its relaxed geometry.

The structure in POSCAR format:
```
Ce2YSe5
1.0
-0.137 5.456 5.547
-6.572 -3.848 3.624
7.778 -6.803 6.883
Ce Y Se
8 4 20
direct
0.484 0.499 0.820
0.516 0.501 0.180
0.984 0.501 0.680
0.516 0.999 0.180
0.016 0.499 0.320
0.484 0.001 0.820
0.016 0.001 0.320
0.984 0.999 0.680
0.423 0.250 0.508
0.577 0.750 0.492
0.923 0.750 0.992
0.077 0.250 0.008
0.036 0.250 0.503
0.964 0.750 0.497
0.536 0.750 0.997
0.464 0.250 0.003
0.337 0.958 0.602
0.663 0.042 0.398
0.837 0.042 0.898
0.663 0.458 0.398
0.163 0.958 0.102
0.337 0.542 0.602
0.163 0.542 0.102
0.837 0.458 0.898
0.202 0.250 0.786
0.798 0.750 0.214
0.702 0.750 0.714
0.298 0.250 0.286
0.674 0.250 0.685
0.326 0.750 0.315
0.174 0.750 0.815
0.826 0.250 0.185
```

Computed properties:
**E**: -0.459 Ry/atom
**Magnetization**: 4.1 Bohr magnetons per cell


Entry 5:
DFT (GGA-PBE) results for crystalline CeY5Se6 at its relaxed geometry.

The structure in POSCAR format:
```
CeY5Se6
1.0
6.993 -0.122 -1.320
-3.789 5.879 -1.320
0.136 0.244 7.115
Y Se Ce
5 6 1
direct
0.834 0.166 0.500
0.668 0.332 0.000
0.500 0.500 0.500
0.332 0.668 0.000
0.166 0.834 0.500
0.423 0.085 0.254
0.915 0.577 0.746
0.255 0.255 0.748
0.745 0.745 0.252
0.085 0.423 0.254
0.577 0.915 0.746
0.000 0.000 0.000
```

Computed properties:
**E**: -0.493 Ry/atom
**Magnetization**: 0.9 Bohr magnetons per cell


Entry 6:
DFT (GGA-PBE) results for crystalline YbCeSe3 at its relaxed geometry.

The structure in POSCAR format:
```
YbCeSe3
1.0
7.064 0.046 0.000
-5.937 3.828 0.000
0.000 0.000 9.774
Yb Ce Se
2 2 6
direct
0.000 0.000 0.000
0.000 0.000 0.500
0.249 0.751 0.750
0.751 0.249 0.250
0.101 0.899 0.250
0.899 0.101 0.750
0.648 0.352 0.569
0.352 0.648 0.431
0.648 0.352 0.931
0.352 0.648 0.069
```

Computed properties:
**E**: -0.393 Ry/atom
**Magnetization**: 1.2 Bohr magnetons per cell


Number 1: formation energy from raw total energies -1835 meV per atom, DOS(E_F) 28.92 states/eV per cell. Number 2: formation energy from raw total energies -1782 meV per atom, DOS(E_F) 9.79 states/eV per cell. Number 3: formation energy from raw total energies -1794 meV per atom, DOS(E_F) 21.67 states/eV per cell. Number 4: formation energy from raw total energies -1773 meV per atom, DOS(E_F) 35.35 states/eV per cell. Number 5: formation energy from raw total energies -1778 meV per atom, DOS(E_F) 10.98 states/eV per cell. Number 6: formation energy from raw total energies -1760 meV per atom, DOS(E_F) 37.67 states/eV per cell.